1.
# Tb4SnGe2 | Alexandria via LeMat-Bulk | PBE | relaxed
data_Tb4SnGe2
_chemical_formula_sum 'Tb12 Sn3 Ge6'
_symmetry_space_group_name_H-M 'R -3 m'
_symmetry_Int_Tables_number 166
_symmetry_space_group_name_Hall '-R 3 2"'
_cell_length_a 4.7251
_cell_length_b 4.7251
_cell_length_c 30.4819
_cell_angle_alpha 90.00
_cell_angle_beta 90.00
_cell_angle_gamma 120.00
loop_
_atom_site_label
_atom_site_fract_x
_atom_site_fract_y
_atom_site_fract_z
Tb1 0.0000 0.0000 0.1169
Tb2 0.0000 0.0000 0.2973
Sn1 0.0000 0.0000 0.5000
Ge1 0.0000 0.0000 0.4013
# ΔE_f: -620 meV/atom
# Total energy: -108.30 eV for the cell shown
# Total magnetization: 0.00 μB/f.u.



2.
# TbSnGe4 | Alexandria via LeMat-Bulk | PBE | relaxed
data_TbSnGe4
_chemical_formula_sum 'Tb4 Sn4 Ge16'
_symmetry_space_group_name_H-M 'F -4 3 m'
_symmetry_Int_Tables_number 216
_symmetry_space_group_name_Hall 'F -4 2 3'
_cell_length_a 7.985
_cell_length_b 7.985
_cell_length_c 7.985
_cell_angle_alpha 90.00
_cell_angle_beta 90.00
_cell_angle_gamma 90.00
loop_
_atom_site_label
_atom_site_fract_x
_atom_site_fract_y
_atom_site_fract_z
Tb1 0.000 0.000 0.000
Sn1 0.250 0.250 0.750
Ge1 0.125 0.125 0.375
# ΔE_f: -140 meV/atom
# Total energy: -111.77 eV for the cell shown
# Total magnetization: 0.00 μB/f.u.



3.
# Tb7SnGe5 | Alexandria via LeMat-Bulk | PBE | relaxed
data_Tb7SnGe5
_chemical_formula_sum 'Tb14 Sn2 Ge10'
_symmetry_space_group_name_H-M 'I m m 2'
_symmetry_Int_Tables_number 44
_symmetry_space_group_name_Hall 'I 2 -2'
_cell_length_a 5.931
_cell_length_b 11.028
_cell_length_c 9.977
_cell_angle_alpha 90.00
_cell_angle_beta 90.00
_cell_angle_gamma 90.00
loop_
_atom_site_label
_atom_site_fract_x
_atom_site_fract_y
_atom_site_fract_z
Tb1 0.000 0.000 0.000
Tb2 0.000 0.000 0.379
Tb3 0.000 0.326 0.636
Tb4 0.000 0.337 0.091
Tb5 0.000 0.500 0.352
Sn1 0.000 0.000 0.686
Ge1 0.000 0.500 0.856
Ge2 0.227 0.260 0.369
# ΔE_f: -555 meV/atom
# Total energy: -133.43 eV for the cell shown
# Total magnetization: 0.00 μB/f.u.



4.
# Tb8SnGe3Te4 | Alexandria via LeMat-Bulk | PBE | relaxed
data_Tb8SnGe3Te4
_chemical_formula_sum 'Tb24 Sn3 Ge9 Te12'
_symmetry_space_group_name_H-M 'R -3 m'
_symmetry_Int_Tables_number 166
_symmetry_space_group_name_Hall '-R 3 2"'
_cell_length_a 8.6001
_cell_length_b 8.6001
_cell_length_c 21.4324
_cell_angle_alpha 90.00
_cell_angle_beta 90.00
_cell_angle_gamma 120.00
loop_
_atom_site_label
_atom_site_fract_x
_atom_site_fract_y
_atom_site_fract_z
Tb1 0.0000 0.0000 0.2398
Tb2 0.0088 0.5044 0.7580
Sn1 0.0000 0.0000 0.5000
Ge1 0.0000 0.5000 0.5000
Te1 0.0000 0.0000 0.0000
Te2 0.0000 0.5000 0.0000
# ΔE_f (raw): -1.157 eV/atom
# Total energy: -257.91 eV for the cell shown
# Total magnetization: 0.00 μB/f.u.



5.
# Tb6SnGe2Te3 | Alexandria via LeMat-Bulk | PBE | relaxed
data_Tb6SnGe2Te3
_chemical_formula_sum 'Tb12 Sn2 Ge4 Te6'
_symmetry_space_group_name_H-M 'C 1 2/m 1'
_symmetry_Int_Tables_number 12
_symmetry_space_group_name_Hall '-C 2y'
_cell_length_a 18.953
_cell_length_b 4.297
_cell_length_c 8.738
_cell_angle_alpha 90.00
_cell_angle_beta 103.98
_cell_angle_gamma 90.00
loop_
_atom_site_label
_atom_site_fract_x
_atom_site_fract_y
_atom_site_fract_z
Tb1 0.009 0.000 0.250
Tb2 0.167 0.500 0.106
Tb3 0.174 0.500 0.567
Sn1 0.000 0.500 0.000
Ge1 0.168 0.000 0.335
Te1 0.000 0.500 0.500
Te2 0.164 0.000 0.832
# ΔE_f (raw): -1.149 eV/atom
# Total energy: -128.45 eV for the cell shown
# Total magnetization: 0.00 μB/f.u.



6.
# Tb4SnGeTe2 | Alexandria via LeMat-Bulk | PBE | relaxed
data_Tb4SnGeTe2
_chemical_formula_sum 'Tb8 Sn2 Ge2 Te4'
_symmetry_space_group_name_H-M 'I -4 m 2'
_symmetry_Int_Tables_number 119
_symmetry_space_group_name_Hall 'I -4 -2'
_cell_length_a 6.136
_cell_length_b 6.136
_cell_length_c 12.347
_cell_angle_alpha 90.00
_cell_angle_beta 90.00
_cell_angle_gamma 90.00
loop_
_atom_site_label
_atom_site_fract_x
_atom_site_fract_y
_atom_site_fract_z
Tb1 0.000 0.000 0.237
Tb2 0.000 0.500 0.003
Sn1 0.000 0.500 0.250
Ge1 0.000 0.000 0.000
Te1 0.000 0.000 0.500
Te2 0.000 0.500 0.750
# ΔE_f (raw): -1.111 eV/atom
# Total energy: -84.62 eV for the cell shown
# Total magnetization: 0.00 μB/f.u.



7.
# Tb2ZnSnGe | Alexandria via LeMat-Bulk | PBE | relaxed
data_Tb2ZnSnGe
_chemical_formula_sum 'Tb4 Zn2 Sn2 Ge2'
_symmetry_space_group_name_H-M 'P 1 21/m 1'
_symmetry_Int_Tables_number 11
_symmetry_space_group_name_Hall '-P 2yb'
_cell_length_a 7.345
_cell_length_b 4.435
_cell_length_c 7.606
_cell_angle_alpha 90.00
_cell_angle_beta 90.02
_cell_angle_gamma 90.00
loop_
_atom_site_label
_atom_site_fract_x
_atom_site_fract_y
_atom_site_fract_z
Tb1 0.005 0.250 0.219
Tb2 0.495 0.250 0.219
Zn1 0.251 0.750 0.407
Sn1 0.250 0.250 0.601
Ge1 0.250 0.750 0.081
# ΔE_f: -636 meV/atom
# Total energy: -44.67 eV for the cell shown
# Total magnetization: 0.00 μB/f.u.



8.
# TcSnGe | Alexandria via LeMat-Bulk | PBE | relaxed
data_TcSnGe
_chemical_formula_sum 'Tc1 Sn1 Ge1'
_symmetry_space_group_name_H-M 'P -6 m 2'
_symmetry_Int_Tables_number 187
_symmetry_space_group_name_Hall 'P -6 2'
_cell_length_a 4.3421
_cell_length_b 4.3421
_cell_length_c 3.4033
_cell_angle_alpha 90.00
_cell_angle_beta 90.00
_cell_angle_gamma 120.00
loop_
_atom_site_label
_atom_site_fract_x
_atom_site_fract_y
_atom_site_fract_z
Tc1 0.0000 0.0000 0.0000
Sn1 0.6667 0.3333 0.5000
Ge1 0.3333 0.6667 0.0000
# ΔE_f: 265 meV/atom
# Energy above the lowest structure with this stoichiometry: 214 meV/atom
# Total energy: -18.19 eV for the cell shown
# Total magnetization: 0.00 μB/f.u.



9.
# TcSn2Ge | Alexandria via LeMat-Bulk | PBE | relaxed
data_TcSn2Ge
_chemical_formula_sum 'Tc3 Sn6 Ge3'
_symmetry_space_group_name_H-M 'R -3 m'
_symmetry_Int_Tables_number 166
_symmetry_space_group_name_Hall '-R 3 2"'
_cell_length_a 3.0430
_cell_length_b 3.0430
_cell_length_c 32.9853
_cell_angle_alpha 90.00
_cell_angle_beta 90.00
_cell_angle_gamma 120.00
loop_
_atom_site_label
_atom_site_fract_x
_atom_site_fract_y
_atom_site_fract_z
Tc1 0.0000 0.0000 0.0000
Sn1 0.0000 0.0000 0.0829
Ge1 0.0000 0.0000 0.5000
# ΔE_f: 710 meV/atom
# Total energy: -60.45 eV for the cell shown
# Total magnetization: 1.22 μB/f.u.



10.
# TcSn2Ge2 | Alexandria via LeMat-Bulk | PBE | relaxed
data_TcSn2Ge2
_chemical_formula_sum 'Tc2 Sn4 Ge4'
_symmetry_space_group_name_H-M 'P 4/m b m'
_symmetry_Int_Tables_number 127
_symmetry_space_group_name_Hall '-P 4 2ab'
_cell_length_a 6.648
_cell_length_b 6.648
_cell_length_c 4.721
_cell_angle_alpha 90.00
_cell_angle_beta 90.00
_cell_angle_gamma 90.00
loop_
_atom_site_label
_atom_site_fract_x
_atom_site_fract_y
_atom_site_fract_z
Tc1 0.000 0.000 0.000
Sn1 0.177 0.323 0.500
Ge1 0.142 0.642 0.000
# ΔE_f: 296 meV/atom
# Total energy: -52.25 eV for the cell shown
# Total magnetization: 1.00 μB/f.u.



11.
# TcSn4Ge | Alexandria via LeMat-Bulk | PBE | relaxed
data_TcSn4Ge
_chemical_formula_sum 'Tc4 Sn16 Ge4'
_symmetry_space_group_name_H-M 'I 4/m c m'
_symmetry_Int_Tables_number 140
_symmetry_space_group_name_Hall '-I 4 2c'
_cell_length_a 7.066
_cell_length_b 7.066
_cell_length_c 10.890
_cell_angle_alpha 90.00
_cell_angle_beta 90.00
_cell_angle_gamma 90.00
loop_
_atom_site_label
_atom_site_fract_x
_atom_site_fract_y
_atom_site_fract_z
Tc1 0.000 0.000 0.250
Sn1 0.153 0.347 0.140
Ge1 0.000 0.000 0.000
# ΔE_f: 43 meV/atom
# Total energy: -122.95 eV for the cell shown
# Total magnetization: 0.00 μB/f.u.



12.
# TcSn2Ge | Alexandria via LeMat-Bulk | PBE | relaxed
data_TcSn2Ge
_chemical_formula_sum 'Tc4 Sn8 Ge4'
_symmetry_space_group_name_H-M 'I -4 2 d'
_symmetry_Int_Tables_number 122
_symmetry_space_group_name_Hall 'I -4 2bw'
_cell_length_a 6.240
_cell_length_b 6.240
_cell_length_c 12.145
_cell_angle_alpha 90.00
_cell_angle_beta 90.00
_cell_angle_gamma 90.00
loop_
_atom_site_label
_atom_site_fract_x
_atom_site_fract_y
_atom_site_fract_z
Tc1 0.000 0.000 0.000
Sn1 0.238 0.250 0.125
Ge1 0.000 0.000 0.500
# ΔE_f: 743 meV/atom
# Total energy: -80.06 eV for the cell shown
# Total magnetization: 1.10 μB/f.u.



What is the total magnetization in the seventh record?
0.00 μB/f.u.



Look up the total magnetization of the third one.
0.00 μB/f.u.